i.
## Rb2NbClF6 (PBE)

Data for an optimized crystal structure of Rb2NbClF6.

## Properties
**Calculated density**: 2.951 g cm⁻³
**Total moment**: 0.11 μB per cell

Unit cell a=5.780 b=5.803 c=7.845 alpha=72.18 beta=69.87 gamma=76.10
Space group P1 (No. 1)
Asymmetric unit:
Rb (0.000, 0.000, 0.000) (multiplicity 1)
Rb (0.429, 0.477, 0.369) (multiplicity 1)
Nb (0.746, 0.702, 0.683) (multiplicity 1)
Cl (0.388, 0.077, 0.181) (multiplicity 1)
F (0.001, 0.884, 0.655) (multiplicity 1)
F (0.479, 0.531, 0.716) (multiplicity 1)
F (0.514, 0.003, 0.671) (multiplicity 1)
F (0.685, 0.625, 0.953) (multiplicity 1)
F (0.845, 0.734, 0.413) (multiplicity 1)
F (0.987, 0.401, 0.687) (multiplicity 1)

=====

ii.
## Rb2NbClF6 (PBE)

Data for an optimized crystal structure of Rb2NbClF6.

## Properties
**Calculated density**: 2.732 g cm⁻³
**Total moment**: 0.00 μB per cell

Unit cell a=10.016 b=10.016 c=10.016 alpha=90.00 beta=90.00 gamma=90.00
Space group Fm-3m (No. 225)
Asymmetric unit:
Rb (0.250, 0.250, 0.250) (multiplicity 8)
Nb (0.000, 0.000, 0.000) (multiplicity 4)
Cl (0.000, 0.000, 0.500) (multiplicity 4)
F (0.000, 0.000, 0.193) (multiplicity 24)

=====

Stability check: which of them is most stable? i.

=====

i.
## NdClF (PBE)

Data for an optimized crystal structure of NdClF.

## Properties
**Calculated density**: 4.962 g cm⁻³
**Total moment**: 4.01 μB per cell

Unit cell a=10.338 b=3.969 c=6.575 alpha=90.00 beta=99.62 gamma=90.00
Space group C2/m (No. 12)
Asymmetric unit:
Nd (0.220, 0.000, 0.229) (multiplicity 4)
Cl (0.073, 0.000, 0.791) (multiplicity 4)
F (0.169, 0.500, 0.412) (multiplicity 4)

=====

ii.
## NdClF (PBE)

Data for an optimized crystal structure of NdClF.

## Properties
**Calculated density**: 4.748 g cm⁻³
**Total moment**: 0.76 μB per cell

Unit cell a=3.7864 b=3.7864 c=5.5966 alpha=90.00 beta=90.00 gamma=120.00
Space group P3m1 (No. 156)
Asymmetric unit:
Nd (0.0000, 0.0000, 0.0000) (multiplicity 1)
Cl (0.3333, 0.6667, 0.6681) (multiplicity 1)
F (0.6667, 0.3333, 0.1946) (multiplicity 1)

=====

Stability check: which of them is most stable? i.

=====

i.
## NdClF (PBE)

Data for an optimized crystal structure of NdClF.

## Properties
**Calculated density**: 5.752 g cm⁻³
**Total moment**: 0.00 μB per cell

Unit cell a=3.390 b=3.390 c=9.984 alpha=90.00 beta=90.00 gamma=90.00
Space group I4mm (No. 107)
Asymmetric unit:
Nd (0.000, 0.000, 0.000) (multiplicity 2)
Cl (0.000, 0.000, 0.323) (multiplicity 2)
F (0.000, 0.000, 0.603) (multiplicity 2)

=====

ii.
## NdClF (PBE)

Data for an optimized crystal structure of NdClF.

## Properties
**Calculated density**: 4.588 g cm⁻³
**Total moment**: 0.00 μB per cell

Unit cell a=4.661 b=4.664 c=6.685 alpha=89.63 beta=81.82 gamma=90.00
Space group P-1 (No. 2)
Asymmetric unit:
Nd (0.250, 0.250, 0.000) (multiplicity 2)
Cl (0.195, 0.748, 0.272) (multiplicity 2)
F (0.284, 0.751, 0.835) (multiplicity 2)

=====

Stability check: which of them is most stable? ii.